(1)
VASP calculation (GGA-PBE) on crystalline Cs2Li3B5O10 at its relaxed geometry.

```
data_Cs2Li3B5O10
_chemical_formula_sum 'Cs8 Li12 B20 O40'
_symmetry_space_group_name_H-M 'C 2 2 21'
_symmetry_Int_Tables_number 20
_symmetry_space_group_name_Hall 'C 2c 2'
_cell_length_a 7.4529
_cell_length_b 11.7703
_cell_length_c 12.9346
_cell_angle_alpha 90.00
_cell_angle_beta 90.00
_cell_angle_gamma 90.00
loop_
_atom_site_label
_atom_site_type_symbol
_atom_site_fract_x
_atom_site_fract_y
_atom_site_fract_z
Cs1 Cs 0.0000 0.2229 0.2500
Cs2 Cs 0.1980 0.5000 0.5000
Li1 Li 0.0000 0.3298 0.7500
Li2 Li 0.1335 0.3099 0.9555
B1 B 0.0000 0.1004 0.7500
B2 B 0.1257 0.1764 0.5802
B3 B 0.2280 0.4890 0.1655
O1 O 0.0037 0.1778 0.8415
O2 O 0.1158 0.2466 0.4991
O3 O 0.1255 0.4193 0.8459
O4 O 0.1601 0.0272 0.7507
O5 O 0.2284 0.4003 0.0896
```

Calculated values
Total moment in μB/f.u.: 0.00
Formation energy from raw total energies in kJ/mol of atoms: -226.52
N(E_F) in states/eV/cell: 0.0

---

(2)
VASP calculation (GGA-PBE) on crystalline Cs2Li2B2P4O15 at its relaxed geometry.

```
data_Cs2Li2B2P4O15
_chemical_formula_sum 'Cs4 Li4 B4 P8 O30'
_symmetry_space_group_name_H-M 'P -1'
_symmetry_Int_Tables_number 2
_symmetry_space_group_name_Hall '-P 1'
_cell_length_a 7.1901
_cell_length_b 7.9357
_cell_length_c 14.2322
_cell_angle_alpha 86.37
_cell_angle_beta 76.24
_cell_angle_gamma 66.76
loop_
_atom_site_label
_atom_site_type_symbol
_atom_site_fract_x
_atom_site_fract_y
_atom_site_fract_z
Cs1 Cs 0.1023 0.2399 0.3500
Cs2 Cs 0.2823 0.8105 0.8667
Li1 Li 0.2218 0.2252 0.0097
Li2 Li 0.2900 0.2559 0.7766
B1 B 0.1322 0.7243 0.2844
B2 B 0.4670 0.7546 0.5089
P1 P 0.1620 0.5822 0.1094
P2 P 0.2671 0.1048 0.5989
P3 P 0.3429 0.8441 0.1274
P4 P 0.4788 0.5292 0.3591
O1 O 0.0244 0.1845 0.6283
O2 O 0.0255 0.6789 0.0414
O3 O 0.0373 0.6663 0.2171
O4 O 0.2136 0.9968 0.0729
O5 O 0.2249 0.8555 0.2384
O6 O 0.2513 0.3757 0.1081
O7 O 0.2903 0.5559 0.3138
O8 O 0.3165 0.9472 0.5241
O9 O 0.3186 0.2590 0.5357
O10 O 0.3365 0.4613 0.7132
O11 O 0.3590 0.6458 0.0907
O12 O 0.3713 0.0501 0.6822
O13 O 0.3880 0.6683 0.4473
O14 O 0.4360 0.1745 0.8813
O15 O 0.4636 0.6707 0.6037
```

Calculated values
Total moment in μB/f.u.: 0.02
Formation energy from raw total energies in kJ/mol of atoms: -225.90
N(E_F) in states/eV/cell: 0.0

---

(3)
VASP calculation (GGA-PBE) on crystalline CsLi2BRh at its relaxed geometry.

```
data_CsLi2BRh
_chemical_formula_sum 'Cs1 Li2 B1 Rh1'
_symmetry_space_group_name_H-M 'P 4/m m m'
_symmetry_Int_Tables_number 123
_symmetry_space_group_name_Hall '-P 4 2'
_cell_length_a 4.8943
_cell_length_b 4.8943
_cell_length_c 4.8146
_cell_angle_alpha 90.00
_cell_angle_beta 90.00
_cell_angle_gamma 90.00
loop_
_atom_site_label
_atom_site_type_symbol
_atom_site_fract_x
_atom_site_fract_y
_atom_site_fract_z
Cs1 Cs 0.0000 0.0000 0.0000
Li1 Li 0.0000 0.5000 0.0000
B1 B 0.0000 0.0000 0.5000
Rh1 Rh 0.5000 0.5000 0.5000
```

Calculated values
Energy of formation in eV/f.u.: 9.9
Total moment in μB/f.u.: 0.00
N(E_F) in states/eV/cell: 3.4

---

(4)
VASP calculation (GGA-PBE) on crystalline CsMg3B at its relaxed geometry.

```
data_CsMg3B
_chemical_formula_sum 'Cs1 Mg3 B1'
_symmetry_space_group_name_H-M 'P m -3 m'
_symmetry_Int_Tables_number 221
_symmetry_space_group_name_Hall '-P 4 2 3'
_cell_length_a 4.9913
_cell_length_b 4.9913
_cell_length_c 4.9913
_cell_angle_alpha 90.00
_cell_angle_beta 90.00
_cell_angle_gamma 90.00
loop_
_atom_site_label
_atom_site_type_symbol
_atom_site_fract_x
_atom_site_fract_y
_atom_site_fract_z
Cs1 Cs 0.0000 0.0000 0.0000
Mg1 Mg 0.0000 0.5000 0.5000
B1 B 0.5000 0.5000 0.5000
```

Calculated values
Energy of formation in eV/f.u.: 3.1
Total moment in μB/f.u.: 0.24
Offset from the most stable computed form in meV per atom: 0.0
N(E_F) in states/eV/cell: 3.8

---

(5)
VASP calculation (GGA-PBE) on crystalline CsMg3B at its relaxed geometry.

```
data_CsMg3B
_chemical_formula_sum 'Cs1 Mg3 B1'
_symmetry_space_group_name_H-M 'P m -3 m'
_symmetry_Int_Tables_number 221
_symmetry_space_group_name_Hall '-P 4 2 3'
_cell_length_a 7.4980
_cell_length_b 7.4980
_cell_length_c 7.4980
_cell_angle_alpha 90.00
_cell_angle_beta 90.00
_cell_angle_gamma 90.00
loop_
_atom_site_label
_atom_site_type_symbol
_atom_site_fract_x
_atom_site_fract_y
_atom_site_fract_z
Cs1 Cs 0.0000 0.0000 0.0000
Mg1 Mg 0.0000 0.0000 0.5000
B1 B 0.5000 0.5000 0.5000
```

Calculated values
Energy of formation in eV/f.u.: 10.3
Total moment in μB/f.u.: 1.86
Offset from the most stable computed form in meV per atom: 1443.3
N(E_F) in states/eV/cell: 14.2

---

(6)
VASP calculation (GGA-PBE) on crystalline CsMg6B at its relaxed geometry.

```
data_CsMg6B
_chemical_formula_sum 'Cs2 Mg12 B2'
_symmetry_space_group_name_H-M 'C m m m'
_symmetry_Int_Tables_number 65
_symmetry_space_group_name_Hall '-C 2 2'
_cell_length_a 11.3206
_cell_length_b 11.3382
_cell_length_c 3.1874
_cell_angle_alpha 90.00
_cell_angle_beta 90.00
_cell_angle_gamma 90.00
loop_
_atom_site_label
_atom_site_type_symbol
_atom_site_fract_x
_atom_site_fract_y
_atom_site_fract_z
Cs1 Cs 0.0000 0.0000 0.0000
Mg1 Mg 0.0000 0.3219 0.5000
Mg2 Mg 0.1775 0.5000 0.5000
Mg3 Mg 0.2500 0.2500 0.0000
B1 B 0.0000 0.5000 0.0000
```

Calculated values
Energy of formation in eV/f.u.: 2.8
Total moment in μB/f.u.: 0.00
N(E_F) in states/eV/cell: 12.3

---

Which value of total moment does entry 2 give? 0.02 μB/f.u.

---

Copy entry 3 word for word.
VASP calculation (GGA-PBE) on crystalline CsLi2BRh at its relaxed geometry.

```
data_CsLi2BRh
_chemical_formula_sum 'Cs1 Li2 B1 Rh1'
_symmetry_space_group_name_H-M 'P 4/m m m'
_symmetry_Int_Tables_number 123
_symmetry_space_group_name_Hall '-P 4 2'
_cell_length_a 4.8943
_cell_length_b 4.8943
_cell_length_c 4.8146
_cell_angle_alpha 90.00
_cell_angle_beta 90.00
_cell_angle_gamma 90.00
loop_
_atom_site_label
_atom_site_type_symbol
_atom_site_fract_x
_atom_site_fract_y
_atom_site_fract_z
Cs1 Cs 0.0000 0.0000 0.0000
Li1 Li 0.0000 0.5000 0.0000
B1 B 0.0000 0.0000 0.5000
Rh1 Rh 0.5000 0.5000 0.5000
```

Calculated values
Energy of formation in eV/f.u.: 9.9
Total moment in μB/f.u.: 0.00
N(E_F) in states/eV/cell: 3.4

---

Which formula does entry 5 have? CsMg3B